The following is a DFT calculation (GGA-PBE) of a geometry-optimized Sc2CuP structure.

a = 6.627 Å, b = 6.627 Å, c = 6.627 Å
α = 33.07°, β = 33.07°, γ = 33.07°
Fractional positions:
Sc 0.758 0.758 0.758
Sc 0.242 0.242 0.242
Cu 0.000 0.000 0.000
P 0.500 0.500 0.500

Calculated values
Space-group type   R-3m (166)
DFT formation energy   -0.704 eV/atom

=====

The following is a DFT calculation (GGA-PBE) of a geometry-optimized AlNiMo2 structure.

a = 3.176 Å, b = 3.176 Å, c = 5.764 Å
α = 90.00°, β = 90.00°, γ = 90.00°
Fractional positions:
Ni 0.000 0.000 0.517
Mo 0.000 0.000 0.009
Mo 0.500 0.500 0.242
Al 0.500 0.500 0.732

Calculated values
Space-group type   P4mm (99)
DFT formation energy   -0.102 eV/atom

=====

The following is a DFT calculation (GGA-PBE) of a geometry-optimized Rb3La3UO8 structure.

a = 7.413 Å, b = 7.413 Å, c = 7.950 Å
α = 117.79°, β = 90.00°, γ = 120.00°
Fractional positions:
Rb 0.000 0.000 0.000
Rb 0.000 0.500 0.000
Rb 0.500 0.500 0.000
La 0.500 0.000 0.500
La 0.500 0.500 0.500
La 0.000 0.500 0.500
U 0.000 0.000 0.500
O 0.276 0.553 0.329
O 0.724 0.447 0.671
O 0.795 0.590 0.338
O 0.205 0.410 0.662
O 0.795 0.043 0.338
O 0.205 0.957 0.662
O 0.248 0.043 0.338
O 0.752 0.957 0.662

Calculated values
Space-group type   R-3m (166)
E_form (uncorrected)   -2743 meV per atom

=====

The following is a DFT calculation (GGA-PBE) of a geometry-optimized SrThPN4 structure.

a = 5.676 Å, b = 5.519 Å, c = 7.181 Å
α = 90.00°, β = 106.81°, γ = 90.00°
Fractional positions:
Sr 0.704 0.750 0.929
Sr 0.296 0.250 0.071
Th 0.773 0.750 0.454
Th 0.227 0.250 0.546
P 0.232 0.750 0.308
P 0.768 0.250 0.692
N 0.956 0.485 0.725
N 0.044 0.985 0.275
N 0.044 0.515 0.275
N 0.956 0.015 0.725
N 0.423 0.750 0.173
N 0.577 0.250 0.827
N 0.392 0.750 0.543
N 0.608 0.250 0.457

Calculated values
Space-group type   P2_1/m (11)
E_form (uncorrected)   -969 meV per atom

=====

In order of appearance, calculated density = 3.970; 7.927; 5.412; 6.272 Mg/m³.